--- P ---
10
Lattice="-2.8811 1.6106 3.0547 -3.7724 -5.6328 -0.5881 8.1957 -6.2967 7.7392" Properties=species:S:1:pos:R:3 comment="BaSr2Ga2, relaxed, DFT GGA-PBE" vol_a3_per_cell=389.1 pbc="T T T"
Sr -1.9470 -1.7684 2.4067
Sr 3.3787 -3.3860 4.9720
Sr 2.7862 -9.6002 7.6896
Sr -0.5048 -4.9444 5.4415
Ga 0.8449 -3.5358 2.6612
Ga 0.4557 -1.7493 4.6627
Ga 2.0941 -7.0652 5.7002
Ga 0.1127 -7.6560 7.4536
Ba -1.7746 -5.8981 1.4361
Ba 2.6090 -5.4777 8.6595


--- Q ---
5
Lattice="-5.1242 1.5178 0.3771 -1.1929 -2.9578 -4.3049 -4.3914 -5.8413 1.8964" Properties=species:S:1:pos:R:3 comment="BaSr2Ga2, relaxed, DFT GGA-PBE" vol_a3_per_cell=187.5 pbc="T T T"
Sr -4.3714 -4.7595 -2.1862
Sr -6.3371 -2.5217 0.1548
Ba 0.0000 0.0000 0.0000
Ga -7.3157 -5.5881 -0.8010
Ga -3.3928 -1.6932 -1.2303


Stability ranking, top and bottom: P is the most stable and Q is the least stable.